Entry 1:
# HfHgNO

A relaxed structure of HfHgNO (PBE, OQMD).

Unit cell a=3.414 b=7.127 c=6.062 alpha=90.00 beta=90.00 gamma=90.00
Element x y z (fractional)
Hf 0.000 0.162 0.000
Hf 0.000 0.838 0.500
Hg 0.500 0.365 0.549
Hg 0.500 0.635 0.049
N 0.500 0.316 0.958
N 0.500 0.684 0.458
O 0.000 0.047 0.292
O 0.000 0.953 0.792

Summary:
The calculation puts the total energy at -7.1224 eV/atom. The volume comes out at 147.47 Å³ per cell.



Entry 2:
# NdNpOs

A relaxed structure of NdNpOs (PBE, OQMD).

Unit cell a=4.732 b=4.732 c=4.732 alpha=60.00 beta=60.00 gamma=60.00
Element x y z (fractional)
Nd 0.000 0.000 0.000
Np 0.500 0.500 0.500
Os 0.250 0.250 0.250

Summary:
For the formation energy, the calculation gives 300 meV/atom. The calculation puts the total energy at -9.2863 eV/atom. The volume comes out at 74.93 Å³ per cell.



Entry 3:
# TmReCl3

A relaxed structure of TmReCl3 (PBE, OQMD).

Unit cell a=7.537 b=7.537 c=6.278 alpha=90.00 beta=90.00 gamma=120.00
Element x y z (fractional)
Tm 0.000 0.000 0.000
Tm 0.000 0.000 0.500
Re 0.667 0.333 0.000
Re 0.667 0.333 0.500
Cl 0.045 0.297 0.250
Cl 0.045 0.748 0.750
Cl 0.252 0.297 0.750
Cl 0.252 0.955 0.250
Cl 0.703 0.748 0.250
Cl 0.703 0.955 0.750

Summary:
The calculation puts the total energy at -4.8196 eV/atom. The volume comes out at 308.87 Å³ per cell.



Entry 4:
# Ho2CuS4

A relaxed structure of Ho2CuS4 (PBE, OQMD).

Unit cell a=7.672 b=7.672 c=7.672 alpha=60.00 beta=60.00 gamma=60.00
Element x y z (fractional)
Ho 0.000 0.000 0.000
Ho 0.000 0.000 0.500
Ho 0.000 0.500 0.000
Ho 0.500 0.000 0.000
Cu 0.375 0.375 0.375
Cu 0.625 0.625 0.625
S 0.250 0.250 0.250
S 0.250 0.250 0.750
S 0.250 0.750 0.250
S 0.250 0.750 0.750
S 0.750 0.250 0.250
S 0.750 0.250 0.750
S 0.750 0.750 0.250
S 0.750 0.750 0.750

Summary:
The calculation puts the total energy at -5.6227 eV/atom. The volume comes out at 319.33 Å³ per cell.



Entry 5:
# BaHg2Pb

A relaxed structure of BaHg2Pb (PBE, OQMD).

Unit cell a=9.034 b=7.544 c=7.325 alpha=90.00 beta=90.00 gamma=90.00
Element x y z (fractional)
Ba 0.000 0.250 0.221
Ba 0.000 0.750 0.779
Ba 0.500 0.250 0.279
Ba 0.500 0.750 0.721
Hg 0.235 0.004 0.504
Hg 0.235 0.496 0.504
Hg 0.265 0.504 0.004
Hg 0.265 0.996 0.004
Hg 0.735 0.004 0.996
Hg 0.735 0.496 0.996
Hg 0.765 0.504 0.496
Hg 0.765 0.996 0.496
Pb 0.006 0.750 0.269
Pb 0.494 0.250 0.769
Pb 0.506 0.750 0.231
Pb 0.994 0.250 0.731

Summary:
The calculation puts the total energy at -1.8703 eV/atom. The volume comes out at 499.18 Å³ per cell.



Entry 6:
# Ag2PdS

A relaxed structure of Ag2PdS (PBE, OQMD).

Unit cell a=5.022 b=5.022 c=5.923 alpha=90.00 beta=90.00 gamma=72.17
Element x y z (fractional)
Ag 0.024 0.360 0.250
Ag 0.360 0.024 0.750
Ag 0.640 0.976 0.250
Ag 0.976 0.640 0.750
Pd 0.500 0.500 0.000
Pd 0.500 0.500 0.500
S 0.197 0.803 0.250
S 0.803 0.197 0.750

Summary:
The calculation puts the total energy at -3.8734 eV/atom. The volume comes out at 142.23 Å³ per cell.



Entry 7:
# DyTm2Al3Cu2Pd

A relaxed structure of DyTm2Al3Cu2Pd (PBE, OQMD).

Unit cell a=4.063 b=6.991 c=6.991 alpha=119.95 beta=90.00 gamma=90.00
Element x y z (fractional)
Dy 0.000 0.000 0.000
Tm 0.000 0.164 0.582
Tm 0.000 0.582 0.164
Al 0.500 0.342 0.342
Al 0.500 0.581 0.821
Al 0.500 0.821 0.581
Cu 0.500 0.251 0.914
Cu 0.500 0.914 0.251
Pd 0.000 0.579 0.579

Summary:
The calculation puts the total energy at -4.7454 eV/atom. The volume comes out at 172.09 Å³ per cell.



Entry 8:
# LiCu2Pb

A relaxed structure of LiCu2Pb (PBE, OQMD).

Unit cell a=6.337 b=6.337 c=6.337 alpha=90.00 beta=90.00 gamma=90.00
Element x y z (fractional)
Li 0.000 0.000 0.000
Li 0.000 0.000 0.500
Li 0.000 0.500 0.000
Li 0.500 0.000 0.000
Cu 0.215 0.215 0.215
Cu 0.215 0.215 0.785
Cu 0.215 0.785 0.215
Cu 0.215 0.785 0.785
Cu 0.785 0.215 0.215
Cu 0.785 0.215 0.785
Cu 0.785 0.785 0.215
Cu 0.785 0.785 0.785
Pb 0.000 0.500 0.500
Pb 0.500 0.000 0.500
Pb 0.500 0.500 0.000
Pb 0.500 0.500 0.500

Summary:
The calculation puts the total energy at -3.1916 eV/atom. The volume comes out at 254.54 Å³ per cell.



Entry 9:
# TmScTlNi2

A relaxed structure of TmScTlNi2 (PBE, OQMD).

Unit cell a=3.535 b=7.315 c=7.315 alpha=30.13 beta=90.00 gamma=90.00
Element x y z (fractional)
Tm 0.000 0.000 0.000
Sc 0.000 0.718 0.718
Tl 0.500 0.356 0.356
Ni 0.500 0.163 0.163
Ni 0.500 0.560 0.560

Summary:
The calculation puts the total energy at -5.3260 eV/atom. The volume comes out at 94.97 Å³ per cell.



Entry 10:
# Cu2P8Se3Br2

A relaxed structure of Cu2P8Se3Br2 (PBE, OQMD).

Unit cell a=8.906 b=12.203 c=13.905 alpha=90.00 beta=90.00 gamma=90.00
Element x y z (fractional)
Cu 0.011 0.127 0.250
Cu 0.011 0.373 0.750
Cu 0.205 0.075 0.750
Cu 0.205 0.425 0.250
Cu 0.795 0.575 0.750
Cu 0.795 0.925 0.250
Cu 0.989 0.627 0.250
Cu 0.989 0.873 0.750
P 0.089 0.195 0.109
P 0.089 0.195 0.391
P 0.089 0.305 0.609
P 0.089 0.305 0.891
P 0.201 0.067 0.023
P 0.201 0.067 0.477
P 0.201 0.433 0.523
P 0.201 0.433 0.977
P 0.253 0.162 0.612
P 0.253 0.162 0.888
P 0.253 0.338 0.112
P 0.253 0.338 0.388
P 0.474 0.242 0.579
P 0.474 0.242 0.921
P 0.474 0.258 0.079
P 0.474 0.258 0.421
P 0.526 0.742 0.579
P 0.526 0.742 0.921
P 0.526 0.758 0.079
P 0.526 0.758 0.421
P 0.747 0.662 0.612
P 0.747 0.662 0.888
P 0.747 0.838 0.112
P 0.747 0.838 0.388
P 0.799 0.567 0.023
P 0.799 0.567 0.477
P 0.799 0.933 0.523
P 0.799 0.933 0.977
P 0.911 0.695 0.109
P 0.911 0.695 0.391
P 0.911 0.805 0.609
P 0.911 0.805 0.891
Se 0.087 0.750 0.000
Se 0.087 0.750 0.500
Se 0.420 0.079 0.110
Se 0.420 0.079 0.390
Se 0.420 0.421 0.610
Se 0.420 0.421 0.890
Se 0.580 0.579 0.110
Se 0.580 0.579 0.390
Se 0.580 0.921 0.610
Se 0.580 0.921 0.890
Se 0.913 0.250 0.000
Se 0.913 0.250 0.500
Br 0.080 0.571 0.750
Br 0.080 0.929 0.250
Br 0.267 0.622 0.250
Br 0.267 0.878 0.750
Br 0.733 0.122 0.250
Br 0.733 0.378 0.750
Br 0.920 0.071 0.750
Br 0.920 0.429 0.250

Summary:
The calculation puts the total energy at -4.4733 eV/atom. The volume comes out at 1511.18 Å³ per cell.



Entry 11:
# LaDyPb

A relaxed structure of LaDyPb (PBE, OQMD).

Unit cell a=5.271 b=5.271 c=5.271 alpha=60.00 beta=60.00 gamma=60.00
Element x y z (fractional)
La 0.000 0.000 0.000
Dy 0.250 0.250 0.250
Pb 0.500 0.500 0.500

Summary:
The calculation puts the total energy at -4.2082 eV/atom. The volume comes out at 103.53 Å³ per cell.



Entry 12:
# CdGeSeO

A relaxed structure of CdGeSeO (PBE, OQMD).

Unit cell a=6.063 b=9.407 c=5.962 alpha=90.00 beta=90.00 gamma=90.00
Element x y z (fractional)
Cd 0.093 0.095 0.000
Cd 0.407 0.095 0.500
Cd 0.593 0.905 0.000
Cd 0.907 0.905 0.500
Ge 0.018 0.686 0.090
Ge 0.482 0.686 0.590
Ge 0.518 0.314 0.090
Ge 0.982 0.314 0.590
Se 0.059 0.667 0.658
Se 0.441 0.667 0.158
Se 0.559 0.333 0.658
Se 0.941 0.333 0.158
O 0.047 0.108 0.619
O 0.453 0.108 0.119
O 0.547 0.892 0.619
O 0.953 0.892 0.119

Summary:
The calculation puts the total energy at -4.1445 eV/atom. The volume comes out at 340.02 Å³ per cell.



Entry 13:
# LaUCl6

A relaxed structure of LaUCl6 (PBE, OQMD).

Unit cell a=7.495 b=7.495 c=4.313 alpha=90.00 beta=90.00 gamma=120.00
Element x y z (fractional)
La 0.000 0.000 0.000
U 0.333 0.667 0.500
Cl 0.057 0.634 0.000
Cl 0.280 0.029 0.500
Cl 0.366 0.423 0.000
Cl 0.577 0.943 0.000
Cl 0.748 0.720 0.500
Cl 0.971 0.252 0.500

Summary:
The calculation puts the total energy at -5.4427 eV/atom. The volume comes out at 209.84 Å³ per cell.



Entry 14:
# LaTbP2Os2O2

A relaxed structure of LaTbP2Os2O2 (PBE, OQMD).

Unit cell a=4.031 b=4.031 c=8.193 alpha=90.00 beta=90.00 gamma=90.00
Element x y z (fractional)
La 0.000 0.000 0.000
Tb 0.500 0.500 0.719
P 0.000 0.000 0.513
P 0.500 0.500 0.217
Os 0.000 0.500 0.366
Os 0.500 0.000 0.366
O 0.000 0.500 0.848
O 0.500 0.000 0.848

Summary:
The calculation puts the total energy at -8.4902 eV/atom. The volume comes out at 133.14 Å³ per cell.



Entry 15:
# Tm2Si

A relaxed structure of Tm2Si (PBE, OQMD).

Unit cell a=5.967 b=5.967 c=5.967 alpha=60.00 beta=60.00 gamma=60.00
Element x y z (fractional)
Tm 0.000 0.000 0.000
Tm 0.000 0.000 0.500
Tm 0.000 0.500 0.000
Tm 0.500 0.000 0.000
Si 0.375 0.375 0.375
Si 0.625 0.625 0.625

Summary:
The calculation puts the total energy at -4.2963 eV/atom. The volume comes out at 150.25 Å³ per cell.



Entry 16:
# ThUGe

A relaxed structure of ThUGe (PBE, OQMD).

Unit cell a=4.913 b=4.913 c=4.913 alpha=60.00 beta=60.00 gamma=60.00
Element x y z (fractional)
Th 0.000 0.000 0.000
U 0.500 0.500 0.500
Ge 0.250 0.250 0.250

Summary:
The calculation puts the total energy at -7.5862 eV/atom. The volume comes out at 83.84 Å³ per cell.



Entry 17:
# Y3Mg3AgHg2

A relaxed structure of Y3Mg3AgHg2 (PBE, OQMD).

Unit cell a=7.783 b=7.783 c=4.163 alpha=90.00 beta=90.00 gamma=120.00
Element x y z (fractional)
Y 0.000 0.409 0.000
Y 0.409 0.000 0.000
Y 0.591 0.591 0.000
Mg 0.000 0.755 0.500
Mg 0.245 0.245 0.500
Mg 0.755 0.000 0.500
Ag 0.000 0.000 0.000
Hg 0.333 0.667 0.500
Hg 0.667 0.333 0.500

Summary:
The calculation puts the total energy at -3.4439 eV/atom. The volume comes out at 218.40 Å³ per cell.



Entry 18:
# ZnO

A relaxed structure of ZnO (PBE, OQMD).

Unit cell a=3.000 b=3.000 c=5.161 alpha=90.00 beta=90.00 gamma=120.00
Element x y z (fractional)
Zn 0.000 0.000 0.000
Zn 0.000 0.000 0.500
O 0.333 0.667 0.250
O 0.667 0.333 0.750

Summary:
The calculation puts the total energy at -4.3209 eV/atom. The volume comes out at 40.22 Å³ per cell.



Entry 19:
# RbYHgSe3

A relaxed structure of RbYHgSe3 (PBE, OQMD).

Unit cell a=9.470 b=9.470 c=9.364 alpha=102.04 beta=102.04 gamma=25.78
Element x y z (fractional)
Rb 0.145 0.145 0.067
Rb 0.855 0.855 0.933
Y 0.172 0.172 0.576
Y 0.828 0.828 0.424
Hg 0.484 0.484 0.278
Hg 0.516 0.516 0.722
Se 0.000 0.000 0.500
Se 0.330 0.330 0.631
Se 0.331 0.331 0.218
Se 0.500 0.500 0.000
Se 0.669 0.669 0.782
Se 0.670 0.670 0.369

Summary:
The calculation puts the total energy at -4.1618 eV/atom. The volume comes out at 356.81 Å³ per cell.



Entry 20:
# PmLuMo

A relaxed structure of PmLuMo (PBE, OQMD).

Unit cell a=4.899 b=4.899 c=4.899 alpha=60.00 beta=60.00 gamma=60.00
Element x y z (fractional)
Pm 0.000 0.000 0.000
Lu 0.750 0.750 0.750
Mo 0.500 0.500 0.500

Summary:
For the formation energy, the calculation gives 1183 meV/atom. The calculation puts the total energy at -5.5227 eV/atom. The volume comes out at 83.15 Å³ per cell.



Entry 21:
# GaTc

A relaxed structure of GaTc (PBE, OQMD).

Unit cell a=2.872 b=2.872 c=4.121 alpha=90.00 beta=90.00 gamma=120.00
Element x y z (fractional)
Ga 0.000 0.000 0.000
Tc 0.667 0.333 0.500

Summary:
The calculation puts the total energy at -6.7867 eV/atom. The volume comes out at 29.43 Å³ per cell.



Entry 22:
# Hg2I2O

A relaxed structure of Hg2I2O (PBE, OQMD).

Unit cell a=7.750 b=7.750 c=7.750 alpha=118.03 beta=81.95 gamma=132.07
Element x y z (fractional)
Hg 0.129 0.093 0.222
Hg 0.371 0.593 0.964
Hg 0.629 0.407 0.036
Hg 0.871 0.907 0.778
I 0.145 0.662 0.807
I 0.355 0.162 0.516
I 0.645 0.838 0.484
I 0.855 0.338 0.193
O 0.250 0.250 0.000
O 0.750 0.750 0.000

Summary:
The calculation puts the total energy at -1.8928 eV/atom. The volume comes out at 293.90 Å³ per cell.